(1)
Y2Tl2Au: relaxed, GGA-PBE.

Cell lengths 7.5410, 7.5410, 4.5994 Å; angles 90.00, 90.00, 90.00 degrees
Space group P4/mbm (No. 127)
One atom of each set of equivalent atoms:
Y 0.1675 0.3325 0.0000 [4 per cell]
Tl 0.1401 0.6401 0.5000 [4 per cell]
Au 0.0000 0.0000 0.5000 [2 per cell]

## Properties
- Total magnetic moment: 0.00 μB per cell
- Final energy: -4.546 eV per atom
- DOS at the Fermi energy: 0.7628 states/eV/atom
- ΔE_f: -34.6 kJ/mol of atoms

***

(2)
Y2TlAu: relaxed, GGA-PBE.

Cell lengths 3.6217, 3.6665, 7.6933 Å; angles 90.00, 90.00, 90.00 degrees
Space group Pmmm (No. 47)
One atom of each set of equivalent atoms:
Y 0.0000 0.0000 0.2297 [2 per cell]
Tl 0.5000 0.5000 0.5000 [1 per cell]
Au 0.5000 0.5000 0.0000 [1 per cell]

## Properties
- Total magnetic moment: 0.00 μB per cell
- Final energy: -5.268 eV per atom
- DOS at the Fermi energy: 0.4920 states/eV/atom
- ΔE_f: -60.3 kJ/mol of atoms

***

(3)
YTlZnAu: relaxed, GGA-PBE.

Cell lengths 7.0433, 7.0433, 7.0433 Å; angles 90.00, 90.00, 90.00 degrees
Space group F-43m (No. 216)
One atom of each set of equivalent atoms:
Y 0.0000 0.0000 0.0000 [4 per cell]
Tl 0.0000 0.0000 0.5000 [4 per cell]
Zn 0.2500 0.2500 0.7500 [4 per cell]
Au 0.2500 0.2500 0.2500 [4 per cell]

## Properties
- Total magnetic moment: 0.00 μB per cell
- Final energy: -3.726 eV per atom
- DOS at the Fermi energy: 0.5328 states/eV/atom
- ΔE_f: -36.7 kJ/mol of atoms

***

(4)
Tl2ZnAu4: relaxed, GGA-PBE.

Cell lengths 5.2403, 5.3831, 7.3485 Å; angles 70.11, 80.06, 62.63 degrees
Space group P-1 (No. 2)
One atom of each set of equivalent atoms:
Tl 0.0389 0.1361 0.1839 [2 per cell]
Zn 0.5000 0.5000 0.5000 [1 per cell]
Au 0.0000 0.5000 0.5000 [1 per cell]
Au 0.3531 0.5108 0.1676 [2 per cell]
Au 0.5000 0.0000 0.5000 [1 per cell]

## Properties
- Total magnetic moment: 0.00 μB per cell
- Final energy: -2.739 eV per atom
- DOS at the Fermi energy: 0.3706 states/eV/atom
- ΔE_f: -0.8 kJ/mol of atoms